A plane-wave DFT calculation with GGA+U was carried out for an optimized crystal structure of GaNiOF2.

```
GaNiOF2
1.0
3.882 0.000 0.000
0.000 3.882 0.000
0.000 0.000 4.090
Ga Ni O F
1 1 1 2
direct
0.000 0.000 0.000
0.500 0.500 0.500
0.500 0.500 0.000
0.000 0.500 0.500
0.500 0.000 0.500
```

Calculated volume   61.7 Å³/cell
Total DFT energy (no corrections)   -20.7 eV per cell
Total moment   0.434 μB per atom
Relative energy among the computed polymorphs   124.0 meV per atom
Space group   No. 123